! Na2CoPdO4 GGA+U relaxed; values from VASP
! calculated total energy = -5.111 eV/atom
! SG = P2/m, No. 10
&SYSTEM
  ibrav = 0, nat = 8, ntyp = 4
/
ATOMIC_SPECIES
Na 22.99 Na.upf
Co 58.93 Co.upf
Pd 106.42 Pd.upf
O 16.00 O.upf
CELL_PARAMETERS angstrom
5.549 0.000 0.000
0.000 2.998 0.000
-2.079 0.000 5.239
ATOMIC_POSITIONS crystal
Na 0.000 0.000 0.000
Na 0.500 0.500 0.000
Co 0.000 0.500 0.500
Pd 0.500 0.000 0.500
O 0.202 0.000 0.708
O 0.242 0.500 0.318
O 0.758 0.500 0.682
O 0.798 0.000 0.292